No. 1
# B3AuS (GGA-PBE, relaxed)
# - uncorrected formation energy (eV/atom) = 1.66
# - crystal system = cubic
# - energy above the lowest structure with this stoichiometry (meV/atom) = 34.5
data_B3AuS
_cell_length_a 4.204
_cell_length_b 4.204
_cell_length_c 4.204
_cell_angle_alpha 90.00
_cell_angle_beta 90.00
_cell_angle_gamma 90.00
_symmetry_space_group_name_H-M 'P m -3 m'
_symmetry_Int_Tables_number 221
_symmetry_space_group_name_Hall '-P 4 2 3'
loop_
_atom_site_label
_atom_site_type_symbol
_atom_site_fract_x
_atom_site_fract_y
_atom_site_fract_z
_atom_site_occupancy
B1 B 0.000 0.000 0.500 1
Au1 Au 0.000 0.000 0.000 1
S1 S 0.500 0.500 0.500 1


No. 2
# BAuS3 (GGA-PBE, relaxed)
# - uncorrected formation energy (eV/atom) = 1.64
# - crystal system = cubic
# - energy above the lowest structure with this stoichiometry (meV/atom) = 736.4
data_BAuS3
_cell_length_a 4.848
_cell_length_b 4.848
_cell_length_c 4.848
_cell_angle_alpha 90.00
_cell_angle_beta 90.00
_cell_angle_gamma 90.00
_symmetry_space_group_name_H-M 'P m -3 m'
_symmetry_Int_Tables_number 221
_symmetry_space_group_name_Hall '-P 4 2 3'
loop_
_atom_site_label
_atom_site_type_symbol
_atom_site_fract_x
_atom_site_fract_y
_atom_site_fract_z
_atom_site_occupancy
B1 B 0.000 0.000 0.000 1
Au1 Au 0.500 0.500 0.500 1
S1 S 0.000 0.500 0.500 1


No. 3
# Si2BAuS (GGA-PBE, relaxed)
# - uncorrected formation energy (eV/atom) = 1.71
# - crystal system = tetragonal
data_Si2BAuS
_cell_length_a 4.760
_cell_length_b 4.760
_cell_length_c 5.136
_cell_angle_alpha 90.00
_cell_angle_beta 90.00
_cell_angle_gamma 90.00
_symmetry_space_group_name_H-M 'P 4/m m m'
_symmetry_Int_Tables_number 123
_symmetry_space_group_name_Hall '-P 4 2'
loop_
_atom_site_label
_atom_site_type_symbol
_atom_site_fract_x
_atom_site_fract_y
_atom_site_fract_z
_atom_site_occupancy
Si1 Si 0.000 0.500 0.000 1
B1 B 0.000 0.000 0.500 1
Au1 Au 0.500 0.500 0.000 1
S1 S 0.500 0.500 0.500 1